First-principles (PBE) data for a geometry-optimized Rb2HoZn3F12 structure, as listed in Alexandria via LeMat-Bulk.

CIF file:
```
data_Rb2HoZn3F12
_space_group_name_H-M_alt 'R -3 m'
_space_group_IT_number 166
_space_group_name_Hall '-R 3 2"'
_cell_length_a 7.4518
_cell_length_b 7.4518
_cell_length_c 19.0591
_cell_angle_alpha 90.00
_cell_angle_beta 90.00
_cell_angle_gamma 120.00
loop_
_atom_site_label
_atom_site_fract_x
_atom_site_fract_y
_atom_site_fract_z
Rb1 0.0000 0.0000 0.1162
Ho1 0.0000 0.0000 0.5000
Zn1 0.0000 0.5000 0.0000
F1 0.0435 0.5218 0.1081
F2 0.0717 0.5358 0.3446
```

Summary:
Theoretical density in g/cm³: 4.131
Total moment in μB/atom: 0.00
Formation energy without anion corrections in eV/atom: -2.726

---

First-principles (PBE) data for a geometry-optimized Rb2HoZnF6 structure, as listed in Alexandria via LeMat-Bulk.

CIF file:
```
data_Rb2HoZnF6
_space_group_name_H-M_alt 'P m m n'
_space_group_IT_number 59
_cell_length_a 6.4627
_cell_length_b 9.1370
_cell_length_c 6.4575
_cell_angle_alpha 90.00
_cell_angle_beta 90.00
_cell_angle_gamma 90.00
loop_
_space_group_symop_operation_xyz
'x,y,z'
'-x,-y,-z'
'-x+1/2,-y+1/2,z'
'x+1/2,y+1/2,-z'
'x+1/2,-y,-z'
'-x+1/2,y,z'
'-x,y+1/2,-z'
'x,-y+1/2,z'
loop_
_atom_site_label
_atom_site_fract_x
_atom_site_fract_y
_atom_site_fract_z
Rb1 0.2500 0.0001 0.2495
Ho1 0.2500 0.2500 0.7487
Zn1 0.2500 0.7500 0.7492
F1 0.0122 0.2500 0.5108
F2 0.0130 0.2500 0.9868
F3 0.2500 0.0123 0.7476
```

Summary:
Theoretical density in g/cm³: 4.488
Total moment in μB/atom: 0.09
Formation energy without anion corrections in eV/atom: -2.942

---

First-principles (PBE) data for a geometry-optimized RbHoZn2F8 structure, as listed in Alexandria via LeMat-Bulk.

CIF file:
```
data_RbHoZn2F8
_space_group_name_H-M_alt 'R 3 2'
_space_group_IT_number 155
_space_group_name_Hall 'R 3 2"'
_cell_length_a 5.3360
_cell_length_b 5.3360
_cell_length_c 25.6844
_cell_angle_alpha 90.00
_cell_angle_beta 90.00
_cell_angle_gamma 120.00
loop_
_atom_site_label
_atom_site_fract_x
_atom_site_fract_y
_atom_site_fract_z
Rb1 0.0000 0.0000 0.0000
Ho1 0.0000 0.0000 0.5000
Zn1 0.0000 0.0000 0.2529
F1 0.0000 0.0000 0.3252
F2 0.0087 0.3565 0.1130
```

Summary:
Theoretical density in g/cm³: 4.194
Total moment in μB/atom: 0.01
Formation energy without anion corrections in eV/atom: -2.922

---

First-principles (PBE) data for a geometry-optimized Ho2RhF structure, as listed in Alexandria via LeMat-Bulk.

CIF file:
```
data_Ho2RhF
_space_group_name_H-M_alt 'R -3 m'
_space_group_IT_number 166
_space_group_name_Hall '-R 3 2"'
_cell_length_a 3.8861
_cell_length_b 3.8861
_cell_length_c 18.7906
_cell_angle_alpha 90.00
_cell_angle_beta 90.00
_cell_angle_gamma 120.00
loop_
_atom_site_label
_atom_site_fract_x
_atom_site_fract_y
_atom_site_fract_z
Ho1 0.0000 0.0000 0.2494
Rh1 0.0000 0.0000 0.5000
F1 0.0000 0.0000 0.0000
```

Summary:
Theoretical density in g/cm³: 9.157
Total moment in μB/atom: 0.00
Formation energy without anion corrections in eV/atom: -1.595

---

First-principles (PBE) data for a geometry-optimized Ho2RuF structure, as listed in Alexandria via LeMat-Bulk.

CIF file:
```
data_Ho2RuF
_space_group_name_H-M_alt 'R -3 m'
_space_group_IT_number 166
_space_group_name_Hall '-R 3 2"'
_cell_length_a 3.5419
_cell_length_b 3.5419
_cell_length_c 21.5354
_cell_angle_alpha 90.00
_cell_angle_beta 90.00
_cell_angle_gamma 120.00
loop_
_atom_site_label
_atom_site_fract_x
_atom_site_fract_y
_atom_site_fract_z
Ho1 0.0000 0.0000 0.2468
Ru1 0.0000 0.0000 0.0000
F1 0.0000 0.0000 0.5000
```

Summary:
Theoretical density in g/cm³: 9.580
Total moment in μB/atom: 0.00
Formation energy without anion corrections in eV/atom: -1.289

---

First-principles (PBE) data for a geometry-optimized Ho2SF3 structure, as listed in Alexandria via LeMat-Bulk.

CIF file:
```
data_Ho2SF3
_space_group_name_H-M_alt 'C 1 2/m 1'
_space_group_IT_number 12
_cell_length_a 13.8893
_cell_length_b 3.7503
_cell_length_c 8.2215
_cell_angle_alpha 90.00
_cell_angle_beta 106.24
_cell_angle_gamma 90.00
loop_
_space_group_symop_operation_xyz
'x,y,z'
'-x,-y,-z'
'-x,y,-z'
'x,-y,z'
'x+1/2,y+1/2,z'
'-x+1/2,-y+1/2,-z'
'-x+1/2,y+1/2,-z'
'x+1/2,-y+1/2,z'
loop_
_atom_site_label
_atom_site_fract_x
_atom_site_fract_y
_atom_site_fract_z
Ho1 0.1202 0.0000 0.4528
Ho2 0.1264 0.5000 0.9015
S1 0.0743 0.5000 0.2005
F1 0.1271 0.0000 0.7406
F2 0.2007 0.0000 0.0477
F3 0.2119 0.5000 0.5756
```

Summary:
Theoretical density in g/cm³: 6.767
Total moment in μB/atom: 0.00
Formation energy without anion corrections in eV/atom: -3.206

---

First-principles (PBE) data for a geometry-optimized Ho4S5F structure, as listed in Alexandria via LeMat-Bulk.

CIF file:
```
data_Ho4S5F
_space_group_name_H-M_alt 'C 1 2/m 1'
_space_group_IT_number 12
_cell_length_a 14.6593
_cell_length_b 3.9314
_cell_length_c 10.2820
_cell_angle_alpha 90.00
_cell_angle_beta 108.56
_cell_angle_gamma 90.00
loop_
_space_group_symop_operation_xyz
'x,y,z'
'-x,-y,-z'
'-x,y,-z'
'x,-y,z'
'x+1/2,y+1/2,z'
'-x+1/2,-y+1/2,-z'
'-x+1/2,y+1/2,-z'
'x+1/2,-y+1/2,z'
loop_
_atom_site_label
_atom_site_fract_x
_atom_site_fract_y
_atom_site_fract_z
Ho1 0.0043 0.0000 0.3250
Ho2 0.1562 0.5000 0.0840
S1 0.0000 0.5000 0.5000
S2 0.1507 0.0000 0.8897
S3 0.1607 0.0000 0.2620
F1 0.0000 0.5000 0.0000
```

Summary:
Theoretical density in g/cm³: 4.960
Total moment in μB/atom: 0.00
Formation energy without anion corrections in eV/atom: -2.143

---

First-principles (PBE) data for a geometry-optimized HoSF structure, as listed in Alexandria via LeMat-Bulk.

CIF file:
```
data_HoSF
_space_group_name_H-M_alt 'P 4/n m m'
_space_group_IT_number 129
_cell_length_a 3.7645
_cell_length_b 3.7645
_cell_length_c 6.8403
_cell_angle_alpha 90.00
_cell_angle_beta 90.00
_cell_angle_gamma 90.00
loop_
_space_group_symop_operation_xyz
'x,y,z'
'-x,-y,-z'
'-y+1/2,x,z'
'y+1/2,-x,-z'
'-x+1/2,-y+1/2,z'
'x+1/2,y+1/2,-z'
'y,-x+1/2,z'
'-y,x+1/2,-z'
'x+1/2,-y,-z'
'-x+1/2,y,z'
'-y,-x,-z'
'y,x,z'
'-x,y+1/2,-z'
'x,-y+1/2,z'
'y+1/2,x+1/2,-z'
'-y+1/2,-x+1/2,z'
loop_
_atom_site_label
_atom_site_fract_x
_atom_site_fract_y
_atom_site_fract_z
Ho1 0.2500 0.2500 0.2284
S1 0.2500 0.2500 0.6431
F1 0.2500 0.7500 0.0000
```

Summary:
Theoretical density in g/cm³: 7.400
Total moment in μB/atom: 0.00
Formation energy without anion corrections in eV/atom: -3.003

---

| no. | V (Å³/f.u.) |
| --- | --- |
| 1 | 305.5 |
| 2 | 190.7 |
| 3 | 211.1 |
| 4 | 81.9 |
| 5 | 78.0 |
| 6 | 102.8 |
| 7 | 280.9 |
| 8 | 48.5 |